--- one ---
Density functional theory data (SCAN) for LaSc2Re at its PBEsol-relaxed geometry.

```
LaSc2Re
1.0
-3.120 0.037 1.528
1.632 -3.261 3.412
2.236 5.448 0.483
La Re Sc
1 1 2
Direct
0.538 0.538 0.076
0.256 0.756 0.512
0.954 0.954 0.909
0.752 0.252 0.503
```

***

--- two ---
Density functional theory data (SCAN) for LaSc2Re at its PBEsol-relaxed geometry.

```
LaSc2Re
1.0
3.148 0.000 0.007
0.000 4.589 0.000
-1.548 0.000 5.873
La Re Sc
1 1 2
Direct
0.500 0.500 0.000
0.500 0.500 0.500
0.891 0.000 0.712
0.109 0.000 0.288
```

***

Which one is most stable, and which one is least stable? one is the most stable of them, while two is the least stable.

***

--- one ---
Density functional theory data (SCAN) for LaReSe at its PBEsol-relaxed geometry.

```
LaReSe
1.0
-2.753 -0.825 -2.544
2.939 -2.030 -2.522
-2.166 -2.239 3.069
La Re Se
1 1 1
Direct
0.000 0.000 0.000
0.500 0.333 0.667
0.500 0.667 0.333
```

***

--- two ---
Density functional theory data (SCAN) for LaReSe at its PBEsol-relaxed geometry.

```
LaReSe
1.0
-2.212 -3.968 -0.063
0.248 -2.796 3.573
-3.633 -0.618 2.657
La Re Se
1 1 1
Direct
0.500 0.500 0.500
0.250 0.250 0.250
0.000 0.000 0.000
```

***

Which one is most stable, and which one is least stable? one is the most stable of them, while two is the least stable.

***

--- one ---
Density functional theory data (SCAN) for La2TaRe at its PBEsol-relaxed geometry.

```
La2TaRe
1.0
-1.668 2.705 0.081
-0.666 -0.318 -3.092
-7.414 -4.633 2.075
La Re Ta
2 1 1
Direct
0.000 0.000 0.777
0.000 0.000 0.223
0.500 0.500 0.000
0.500 0.500 0.500
```

***

--- two ---
Density functional theory data (SCAN) for La2TaRe at its PBEsol-relaxed geometry.

```
La2TaRe
1.0
3.046 0.002 0.000
-1.287 2.761 0.000
0.000 0.000 10.181
La Re Ta
2 1 1
Direct
0.000 0.000 0.269
0.000 0.000 0.731
0.500 0.500 0.500
0.500 0.500 0.000
```

***

Which one is most stable, and which one is least stable? two is the most stable of them, while one is the least stable.

***

--- one ---
Density functional theory data (SCAN) for La2TaRe at its PBEsol-relaxed geometry.

```
La2TaRe
1.0
3.492 0.000 0.000
0.000 5.259 -0.034
-1.746 -2.579 5.278
La Re Ta
2 1 1
Direct
0.996 0.997 0.992
0.770 0.270 0.540
0.531 0.532 0.063
0.202 0.702 0.405
```

***

--- two ---
Density functional theory data (SCAN) for La2TaRe at its PBEsol-relaxed geometry.

```
La2TaRe
1.0
4.941 0.000 0.000
2.470 4.279 0.000
2.470 1.426 4.034
La Re Ta
2 1 1
Direct
0.000 0.000 0.000
0.750 0.750 0.750
0.500 0.500 0.500
0.250 0.250 0.250
```

***

Which one is most stable, and which one is least stable? one is the most stable of them, while two is the least stable.

***

--- one ---
Density functional theory data (SCAN) for LaTl2Re at its PBEsol-relaxed geometry.

```
LaTl2Re
1.0
4.654 0.000 0.000
0.000 4.654 0.000
-2.327 -2.327 4.165
La Re Tl
1 1 2
Direct
0.500 0.500 0.000
0.000 0.000 0.000
0.750 0.250 0.500
0.250 0.750 0.500
```

***

--- two ---
Density functional theory data (SCAN) for LaTl2Re at its PBEsol-relaxed geometry.

```
LaTl2Re
1.0
-3.956 1.820 0.200
-0.640 -1.821 3.909
1.929 3.955 2.158
La Re Tl
1 1 2
Direct
0.500 0.500 0.500
0.000 0.000 0.500
0.000 0.500 0.000
0.500 0.000 0.000
```

***

Which one is most stable, and which one is least stable? one is the most stable of them, while two is the least stable.

***

--- one ---
Density functional theory data (SCAN) for La2YRe at its PBEsol-relaxed geometry.

```
La2YRe
1.0
-0.412 -3.370 -3.124
0.377 -3.150 3.349
-4.640 0.044 0.564
La Re Y
2 1 1
Direct
0.000 0.500 0.000
0.500 0.000 0.000
0.500 0.500 0.500
0.000 0.000 0.500
```

***

--- two ---
Density functional theory data (SCAN) for La2YRe at its PBEsol-relaxed geometry.

```
La2YRe
1.0
3.270 0.042 0.000
-0.319 5.549 0.000
-1.475 -2.796 5.354
La Re Y
2 1 1
Direct
0.000 0.000 0.500
0.500 0.500 0.500
0.500 0.000 0.000
0.000 0.500 0.000
```

***

--- three ---
Density functional theory data (SCAN) for La2YRe at its PBEsol-relaxed geometry.

```
La2YRe
1.0
-0.410 -0.612 -3.398
-0.754 -3.323 0.690
-8.348 2.027 0.643
La Re Y
2 1 1
Direct
0.000 0.000 0.031
0.500 0.500 0.296
0.000 0.000 0.490
0.500 0.500 0.683
```

***

Which one is most stable, and which one is least stable? three is the most stable of them, while two is the least stable.